This record from Alexandria via LeMat-Bulk describes a geometry-optimized AcErPdRh structure. The functional is PBE-GGA.

Properties
- E (eV per cell) = -24.0
- energy of formation from the pure elements (eV/atom) = -0.695
- SG = F-43m, No. 216

a = 5.1011 Å, b = 5.1011 Å, c = 5.1011 Å
α = 60.00°, β = 60.00°, γ = 60.00°
Closest atoms and distances in Å follow each position.
Element x y z (fractional)
Ac1 0.0000 0.0000 0.0000  4 Rh 3.12, 4 Pd 3.12
Er1 0.5000 0.5000 0.5000  4 Rh 3.12, 4 Pd 3.12
Pd1 0.2500 0.2500 0.2500  4 Ac 3.12, 4 Er 3.12
Rh1 0.7500 0.7500 0.7500  4 Ac 3.12, 4 Er 3.12